{
  "formula": "Na3H8Rh",
  "functional": "PBE",
  "state": "relaxed",
  "lattice_angstrom": [[-2.4340, 2.4340, 5.0324], [2.4340, -2.4340, 5.0324], [2.4340, 2.4340, -5.0324]],
  "species": ["Na", "Na", "Na", "H", "H", "H", "H", "H", "H", "H", "H", "Rh"],
  "fractional_positions": [[0.0000, 0.0000, 0.0000], [0.2500, 0.7500, 0.5000], [0.7500, 0.2500, 0.5000], [0.1977, 0.1977, 0.5904], [0.1977, 0.6072, 0.0000], [0.3928, 0.3928, 0.5904], [0.3928, 0.8023, 0.0000], [0.6072, 0.1977, 0.0000], [0.6072, 0.6072, 0.4096], [0.8023, 0.3928, 0.0000], [0.8023, 0.8023, 0.4096], [0.5000, 0.5000, 0.0000]],
  "sg": "I4/mmm, No. 139",
  "final_energy_ev_per_fu": -37.92,
  "dos_ef_per_ev_atom": 0.2439
}